This record from OQMD describes a relaxed structure of Cd3H24C48N4O16. The functional is PBE.

a = 14.949 Å, b = 14.949 Å, c = 10.163 Å
α = 105.74°, β = 105.74°, γ = 38.56°
Fractional coordinates of all 95 atoms:
O1 0.356 0.849 0.814
O2 0.641 0.641 0.651
O3 0.675 0.391 0.692
O4 0.603 0.603 0.025
O5 0.397 0.397 0.975
O6 0.644 0.151 0.186
O7 0.679 0.679 0.992
O8 0.325 0.609 0.308
O9 0.151 0.644 0.186
O10 0.426 0.426 0.542
O11 0.359 0.359 0.349
O12 0.321 0.321 0.008
O13 0.609 0.325 0.308
O14 0.391 0.675 0.692
O15 0.574 0.574 0.458
O16 0.849 0.356 0.814
C1 0.706 0.706 0.505
C2 0.805 0.310 0.745
C3 0.656 0.656 0.439
C4 0.847 0.092 0.272
C5 0.638 0.638 0.297
C6 0.690 0.947 0.527
C7 0.103 0.855 0.697
C8 0.947 0.690 0.527
C9 0.380 0.380 0.477
C10 0.092 0.847 0.272
C11 0.048 0.048 0.317
C12 0.647 0.027 0.410
C13 0.260 0.260 0.574
C14 0.620 0.620 0.523
C15 0.855 0.103 0.697
C16 0.145 0.897 0.303
C17 0.310 0.053 0.473
C18 0.053 0.310 0.473
C19 0.944 0.944 0.252
C20 0.294 0.294 0.495
C21 0.344 0.344 0.561
C22 0.027 0.647 0.410
C23 0.996 0.255 0.396
C24 0.908 0.153 0.728
C25 0.973 0.353 0.590
C26 0.671 0.671 0.219
C27 0.056 0.056 0.748
C28 0.952 0.952 0.683
C29 0.255 0.996 0.396
C30 0.195 0.690 0.255
C31 0.897 0.145 0.303
C32 0.004 0.745 0.604
C33 0.349 0.349 0.933
C34 0.793 0.793 0.498
C35 0.900 0.900 0.641
C36 0.362 0.362 0.703
C37 0.310 0.805 0.745
C38 0.153 0.908 0.728
C39 0.745 0.004 0.604
C40 0.278 0.278 0.718
C41 0.100 0.100 0.359
C42 0.329 0.329 0.781
C43 0.740 0.740 0.426
C44 0.651 0.651 0.067
C45 0.722 0.722 0.282
C46 0.207 0.207 0.502
C47 0.690 0.195 0.255
C48 0.353 0.973 0.590
H1 0.591 0.002 0.563
H2 0.281 0.281 0.383
H3 0.739 0.182 0.682
H4 0.253 0.253 0.783
H5 0.182 0.739 0.682
H6 0.911 0.321 0.313
H7 0.818 0.261 0.318
H8 0.904 0.904 0.221
H9 0.956 0.407 0.694
H10 0.089 0.679 0.687
H11 0.599 0.599 0.246
H12 0.998 0.409 0.437
H13 0.679 0.089 0.687
H14 0.002 0.591 0.563
H15 0.747 0.747 0.217
H16 0.409 0.998 0.437
H17 0.407 0.956 0.694
H18 0.321 0.911 0.313
H19 0.719 0.719 0.617
H20 0.096 0.096 0.779
H21 0.401 0.401 0.754
H22 0.261 0.818 0.318
H23 0.044 0.593 0.306
H24 0.593 0.044 0.306
Cd1 0.399 0.399 0.194
Cd2 0.601 0.601 0.806
Cd3 0.500 0.500 0.500
N1 0.691 0.076 0.473
N2 0.924 0.309 0.527
N3 0.076 0.691 0.473
N4 0.309 0.924 0.527

## Properties
Total energy, eV/atom: -6.897



This record from OQMD describes a relaxed structure of CdH9C14NO5. The functional is PBE.

a = 6.575 Å, b = 7.484 Å, c = 12.050 Å
α = 102.79°, β = 92.63°, γ = 103.83°
Fractional coordinates of all 60 atoms:
H1 0.589 0.153 0.511
H2 0.144 0.566 0.902
H3 0.113 0.242 0.558
H4 0.457 0.828 0.283
H5 0.483 0.610 0.094
H6 0.189 0.301 0.978
H7 0.825 0.763 0.602
H8 0.543 0.172 0.717
H9 0.411 0.847 0.489
H10 0.377 0.851 0.646
H11 0.887 0.758 0.442
H12 0.856 0.434 0.098
H13 0.791 0.417 0.915
H14 0.517 0.390 0.906
H15 0.623 0.149 0.354
H16 0.175 0.237 0.398
H17 0.811 0.699 0.022
H18 0.209 0.583 0.085
C1 0.668 0.473 0.766
C2 0.317 0.909 0.869
C3 0.161 0.380 0.619
C4 0.839 0.620 0.381
C5 0.823 0.442 0.186
C6 0.126 0.385 0.733
C7 0.632 0.290 0.572
C8 0.978 0.792 0.233
C9 0.237 0.374 0.379
C10 0.874 0.615 0.267
C11 0.022 0.208 0.767
C12 0.763 0.626 0.621
C13 0.305 0.718 0.668
C14 0.267 0.724 0.781
C15 0.665 0.481 0.891
C16 0.368 0.710 0.428
C17 0.683 0.091 0.131
C18 0.716 0.456 0.536
C19 0.733 0.276 0.219
C20 0.395 0.701 0.314
C21 0.250 0.546 0.584
C22 0.177 0.558 0.814
C23 0.605 0.299 0.686
C24 0.332 0.527 0.234
C25 0.695 0.282 0.332
C26 0.750 0.454 0.416
C27 0.284 0.544 0.464
C28 0.335 0.519 0.109
N1 0.740 0.634 0.732
N2 0.260 0.366 0.268
O1 0.958 0.053 0.694
O2 0.042 0.947 0.306
O3 0.006 0.775 0.126
O4 0.696 0.669 0.958
O5 0.994 0.225 0.874
O6 0.304 0.331 0.042
O7 0.828 0.064 0.067
O8 0.495 0.024 0.873
O9 0.172 0.936 0.933
O10 0.505 0.976 0.127
Cd1 0.805 0.921 0.868
Cd2 0.195 0.079 0.132

## Properties
Total energy, eV/atom: -6.769



This record from OQMD describes a relaxed structure of CdH10C12N6O6. The functional is PBE.

a = 10.588 Å, b = 10.588 Å, c = 10.208 Å
α = 97.93°, β = 97.93°, γ = 37.11°
Fractional coordinates of all 70 atoms:
N1 0.639 0.639 0.496
N2 0.306 0.463 0.397
N3 0.639 0.639 0.996
N4 0.361 0.361 0.504
N5 0.361 0.361 0.004
N6 0.694 0.537 0.603
N7 0.378 0.725 0.914
N8 0.275 0.622 0.586
N9 0.725 0.378 0.414
N10 0.463 0.306 0.897
N11 0.622 0.275 0.086
N12 0.537 0.694 0.103
O1 0.949 0.230 0.119
O2 0.230 0.949 0.619
O3 0.900 0.752 0.715
O4 0.770 0.051 0.381
O5 0.051 0.807 0.147
O6 0.807 0.051 0.647
O7 0.752 0.900 0.215
O8 0.949 0.193 0.853
O9 0.100 0.248 0.285
O10 0.193 0.949 0.353
O11 0.051 0.770 0.881
O12 0.248 0.100 0.785
H1 0.379 0.401 0.714
H2 0.599 0.621 0.786
H3 0.269 0.793 0.109
H4 0.314 0.215 0.142
H5 0.171 0.057 0.334
H6 0.686 0.785 0.858
H7 0.793 0.269 0.609
H8 0.205 0.947 0.452
H9 0.207 0.731 0.391
H10 0.621 0.599 0.286
H11 0.943 0.829 0.166
H12 0.829 0.943 0.666
H13 0.053 0.795 0.048
H14 0.057 0.171 0.834
H15 0.785 0.686 0.358
H16 0.215 0.314 0.642
H17 0.947 0.205 0.952
H18 0.795 0.053 0.548
H19 0.731 0.207 0.891
H20 0.401 0.379 0.214
Cd1 0.121 0.879 0.750
Cd2 0.879 0.121 0.250
C1 0.457 0.341 0.116
C2 0.745 0.380 0.549
C3 0.177 0.432 0.997
C4 0.343 0.174 0.582
C5 0.003 0.592 0.914
C6 0.289 0.015 0.671
C7 0.657 0.826 0.418
C8 0.592 0.003 0.414
C9 0.174 0.343 0.082
C10 0.341 0.457 0.616
C11 0.826 0.657 0.918
C12 0.408 0.997 0.586
C13 0.985 0.711 0.829
C14 0.711 0.985 0.329
C15 0.659 0.543 0.384
C16 0.380 0.745 0.049
C17 0.568 0.823 0.503
C18 0.997 0.408 0.086
C19 0.823 0.568 0.003
C20 0.255 0.620 0.451
C21 0.543 0.659 0.884
C22 0.015 0.289 0.171
C23 0.620 0.255 0.951
C24 0.432 0.177 0.497

## Properties
Total energy, eV/atom: -6.768



This record from OQMD describes a relaxed structure of CdH18C23N4O6. The functional is PBE.

a = 9.302 Å, b = 10.048 Å, c = 11.852 Å
α = 99.00°, β = 105.00°, γ = 106.02°
Fractional coordinates of all 104 atoms:
C1 0.393 0.888 0.022
C2 0.987 0.114 0.076
C3 0.591 0.470 0.292
C4 0.131 0.856 0.650
C5 0.441 0.025 0.096
C6 0.806 0.556 0.200
C7 0.559 0.975 0.904
C8 0.452 0.863 0.927
C9 0.390 0.566 0.132
C10 0.245 0.844 0.269
C11 0.375 0.053 0.197
C12 0.694 0.416 0.379
C13 0.755 0.156 0.731
C14 0.607 0.112 0.978
C15 0.869 0.144 0.350
C16 0.625 0.947 0.803
C17 0.070 0.024 0.910
C18 0.354 0.457 0.789
C19 0.930 0.976 0.090
C20 0.306 0.584 0.621
C21 0.555 0.174 0.600
C22 0.610 0.434 0.868
C23 0.830 0.536 0.789
C24 0.497 0.064 0.649
C25 0.093 0.172 0.480
C26 0.564 0.554 0.708
C27 0.436 0.446 0.292
C28 0.194 0.444 0.800
C29 0.925 0.929 0.619
C30 0.907 0.828 0.520
C31 0.503 0.936 0.351
C32 0.851 0.948 0.184
C33 0.646 0.543 0.211
C34 0.445 0.826 0.400
C35 0.409 0.530 0.708
C36 0.545 0.594 0.134
C37 0.170 0.464 0.211
C38 0.665 0.508 0.789
C39 0.075 0.071 0.381
C40 0.335 0.492 0.211
C41 0.013 0.886 0.924
C42 0.149 0.052 0.816
C43 0.455 0.406 0.866
C44 0.944 0.862 0.014
C45 0.056 0.138 0.986
C46 0.548 0.137 0.073
N1 0.037 0.784 0.540
N2 0.963 0.216 0.460
N3 0.626 0.053 0.731
N4 0.284 0.771 0.350
N5 0.374 0.947 0.269
N6 0.069 0.947 0.701
N7 0.716 0.229 0.650
N8 0.931 0.053 0.299
H1 0.748 0.950 0.838
H2 0.412 0.754 0.870
H3 0.270 0.049 0.847
H4 0.902 0.753 0.025
H5 0.588 0.246 0.130
H6 0.148 0.008 0.363
H7 0.730 0.951 0.153
H8 0.556 0.841 0.741
H9 0.394 0.390 0.355
H10 0.957 0.461 0.123
H11 0.024 0.797 0.865
H12 0.309 0.599 0.067
H13 0.043 0.539 0.877
H14 0.586 0.650 0.071
H15 0.126 0.824 0.211
H16 0.241 0.842 0.697
H17 0.252 0.050 0.162
H18 0.308 0.799 0.037
H19 0.606 0.610 0.645
H20 0.379 0.991 0.630
H21 0.810 0.784 0.436
H22 0.414 0.350 0.929
H23 0.190 0.216 0.564
H24 0.874 0.176 0.789
H25 0.098 0.247 0.975
H26 0.493 0.214 0.530
H27 0.507 0.786 0.470
H28 0.621 0.009 0.370
H29 0.759 0.158 0.303
H30 0.845 0.842 0.200
H31 0.691 0.401 0.933
H32 0.155 0.158 0.800
H33 0.692 0.201 0.963
H34 0.444 0.159 0.259
H35 0.976 0.203 0.135
H36 0.852 0.992 0.637
O1 0.188 0.555 0.866
O2 0.812 0.445 0.134
O3 0.371 0.690 0.585
O4 0.843 0.480 0.417
O5 0.919 0.671 0.251
O6 0.869 0.563 0.699
O7 0.927 0.529 0.887
O8 0.081 0.329 0.749
O9 0.131 0.437 0.301
O10 0.073 0.471 0.113
O11 0.629 0.310 0.415
O12 0.157 0.520 0.583
Cd1 0.103 0.630 0.421
Cd2 0.897 0.370 0.579

## Properties
Total energy, eV/atom: -6.713



Please write out number 1 again, unchanged.
This record from OQMD describes a relaxed structure of Cd3H24C48N4O16. The functional is PBE.

a = 14.949 Å, b = 14.949 Å, c = 10.163 Å
α = 105.74°, β = 105.74°, γ = 38.56°
Fractional coordinates of all 95 atoms:
O1 0.356 0.849 0.814
O2 0.641 0.641 0.651
O3 0.675 0.391 0.692
O4 0.603 0.603 0.025
O5 0.397 0.397 0.975
O6 0.644 0.151 0.186
O7 0.679 0.679 0.992
O8 0.325 0.609 0.308
O9 0.151 0.644 0.186
O10 0.426 0.426 0.542
O11 0.359 0.359 0.349
O12 0.321 0.321 0.008
O13 0.609 0.325 0.308
O14 0.391 0.675 0.692
O15 0.574 0.574 0.458
O16 0.849 0.356 0.814
C1 0.706 0.706 0.505
C2 0.805 0.310 0.745
C3 0.656 0.656 0.439
C4 0.847 0.092 0.272
C5 0.638 0.638 0.297
C6 0.690 0.947 0.527
C7 0.103 0.855 0.697
C8 0.947 0.690 0.527
C9 0.380 0.380 0.477
C10 0.092 0.847 0.272
C11 0.048 0.048 0.317
C12 0.647 0.027 0.410
C13 0.260 0.260 0.574
C14 0.620 0.620 0.523
C15 0.855 0.103 0.697
C16 0.145 0.897 0.303
C17 0.310 0.053 0.473
C18 0.053 0.310 0.473
C19 0.944 0.944 0.252
C20 0.294 0.294 0.495
C21 0.344 0.344 0.561
C22 0.027 0.647 0.410
C23 0.996 0.255 0.396
C24 0.908 0.153 0.728
C25 0.973 0.353 0.590
C26 0.671 0.671 0.219
C27 0.056 0.056 0.748
C28 0.952 0.952 0.683
C29 0.255 0.996 0.396
C30 0.195 0.690 0.255
C31 0.897 0.145 0.303
C32 0.004 0.745 0.604
C33 0.349 0.349 0.933
C34 0.793 0.793 0.498
C35 0.900 0.900 0.641
C36 0.362 0.362 0.703
C37 0.310 0.805 0.745
C38 0.153 0.908 0.728
C39 0.745 0.004 0.604
C40 0.278 0.278 0.718
C41 0.100 0.100 0.359
C42 0.329 0.329 0.781
C43 0.740 0.740 0.426
C44 0.651 0.651 0.067
C45 0.722 0.722 0.282
C46 0.207 0.207 0.502
C47 0.690 0.195 0.255
C48 0.353 0.973 0.590
H1 0.591 0.002 0.563
H2 0.281 0.281 0.383
H3 0.739 0.182 0.682
H4 0.253 0.253 0.783
H5 0.182 0.739 0.682
H6 0.911 0.321 0.313
H7 0.818 0.261 0.318
H8 0.904 0.904 0.221
H9 0.956 0.407 0.694
H10 0.089 0.679 0.687
H11 0.599 0.599 0.246
H12 0.998 0.409 0.437
H13 0.679 0.089 0.687
H14 0.002 0.591 0.563
H15 0.747 0.747 0.217
H16 0.409 0.998 0.437
H17 0.407 0.956 0.694
H18 0.321 0.911 0.313
H19 0.719 0.719 0.617
H20 0.096 0.096 0.779
H21 0.401 0.401 0.754
H22 0.261 0.818 0.318
H23 0.044 0.593 0.306
H24 0.593 0.044 0.306
Cd1 0.399 0.399 0.194
Cd2 0.601 0.601 0.806
Cd3 0.500 0.500 0.500
N1 0.691 0.076 0.473
N2 0.924 0.309 0.527
N3 0.076 0.691 0.473
N4 0.309 0.924 0.527

## Properties
Total energy, eV/atom: -6.897